No. 1
Density functional theory data (PBE) for crystalline BaRuC2 at its relaxed geometry.

Summary:
The value obtained for the energy above the most stable polymorph in this dataset is 0.00 eV per formula unit. For the total energy, the calculation gives -7.05 eV/atom. The energy of formation is 0.36 eV/atom. As for the density of states at the Fermi level: 0.030 states/eV/atom. As for the crystal system: tetragonal.

Cell: 5.1704 5.1704 6.6955 Å, 67.29 67.29 90.00°
Atoms (fractional coordinates):
Ba 0.7500 0.2500 0.5000
Ba 0.0000 0.0000 0.0000
C 0.8750 0.6252 0.7500
C 0.3752 0.1250 0.2500
C 0.3750 0.6248 0.7500
C 0.3748 0.6250 0.2500
Ru 0.2500 0.7500 0.5000
Ru 0.5000 0.5000 0.0000

---

No. 2
Density functional theory data (PBE) for crystalline BaRuC3 at its relaxed geometry.

Summary:
The value obtained for the energy above the most stable polymorph in this dataset is 14.00 eV per formula unit. For the total energy, the calculation gives -3.60 eV/atom. The energy of formation is 4.17 eV/atom. As for the density of states at the Fermi level: 1.491 states/eV/atom. As for the crystal system: cubic.

Cell: 4.5012 4.5012 4.5012 Å, 90.00 90.00 90.00°
Atoms (fractional coordinates):
C 0.0000 0.5000 0.0000
C 0.5000 0.0000 0.0000
C 0.0000 0.0000 0.5000
Ba 0.0000 0.0000 0.0000
Ru 0.5000 0.5000 0.5000

---

No. 3
Density functional theory data (PBE) for crystalline BaSnRu2C at its relaxed geometry.

Summary:
For the total energy, the calculation gives -4.46 eV/atom. The energy of formation is 2.28 eV/atom. As for the density of states at the Fermi level: 1.002 states/eV/atom. As for the crystal system: tetragonal.

Cell: 4.8832 4.8832 6.1070 Å, 90.00 90.00 90.00°
Atoms (fractional coordinates):
Ba 0.0000 0.0000 0.5000
Sn 0.0000 0.0000 0.0000
Ru 0.5000 0.0000 0.0000
Ru 0.0000 0.5000 0.0000
C 0.5000 0.5000 0.5000

---

No. 4
Density functional theory data (PBE) for crystalline Ba2TaRuC at its relaxed geometry.

Summary:
For the total energy, the calculation gives -5.48 eV/atom. The energy of formation is 1.36 eV/atom. As for the density of states at the Fermi level: 0.908 states/eV/atom. As for the crystal system: tetragonal.

Cell: 6.1920 3.8604 6.1920 Å, 90.00 90.00 90.00°
Atoms (fractional coordinates):
Ru 0.0000 0.0000 0.0000
C 0.0000 0.5000 0.0000
Ta 0.5000 0.5000 0.5000
Ba 0.0000 0.0000 0.5000
Ba 0.5000 0.0000 0.0000

---

No. 5
Density functional theory data (PBE) for crystalline Ba2ZnRuC at its relaxed geometry.

Summary:
For the total energy, the calculation gives -4.55 eV/atom. The energy of formation is 0.18 eV/atom. As for the density of states at the Fermi level: 0.977 states/eV/atom. As for the crystal system: tetragonal.

Cell: 5.8790 5.8790 3.9256 Å, 90.00 90.00 90.00°
Atoms (fractional coordinates):
Ba 0.0000 0.5000 0.0000
Ba 0.5000 0.0000 0.0000
Zn 0.5000 0.5000 0.5000
C 0.0000 0.0000 0.0000
Ru 0.0000 0.0000 0.5000

---

No. 6
Density functional theory data (PBE) for crystalline BaC3S at its relaxed geometry.

Summary:
The value obtained for the energy above the most stable polymorph in this dataset is 8.35 eV per formula unit. For the total energy, the calculation gives -2.87 eV/atom. As for the raw formation energy: 3.88 eV per atom. As for the density of states at the Fermi level: 1.160 states/eV/atom. As for the crystal system: cubic.

Cell: 5.2157 5.2157 5.2157 Å, 90.00 90.00 90.00°
Atoms (fractional coordinates):
S 0.5000 0.5000 0.5000
C 0.0000 0.5000 0.0000
C 0.0000 0.0000 0.5000
C 0.5000 0.0000 0.0000
Ba 0.0000 0.0000 0.0000

---

No. 7
Density functional theory data (PBE) for crystalline BaC2S2 at its relaxed geometry.

Summary:
The value obtained for the energy above the most stable polymorph in this dataset is 0.40 eV per formula unit. For the total energy, the calculation gives -4.90 eV/atom. As for the raw formation energy: 0.83 eV per atom. As for the density of states at the Fermi level: 0.308 states/eV/atom. As for the crystal system: tetragonal.

Cell: 3.9691 3.9691 5.7320 Å, 69.74 69.74 90.00°
Atoms (fractional coordinates):
Ba 0.0000 0.0000 0.0000
S 0.6936 0.6936 0.6127
S 0.3064 0.3064 0.3873
C 0.2500 0.7500 0.5000
C 0.7500 0.2500 0.5000

---

No. 8
Density functional theory data (PBE) for crystalline BaCS3 at its relaxed geometry.

Summary:
The value obtained for the energy above the most stable polymorph in this dataset is 0.00 eV per formula unit. For the total energy, the calculation gives -4.44 eV/atom. As for the raw formation energy: 0.27 eV per atom. As for the density of states at the Fermi level: 0.730 states/eV/atom. As for the crystal system: cubic.

Cell: 4.5461 4.5461 4.5461 Å, 90.00 90.00 90.00°
Atoms (fractional coordinates):
Ba 0.5000 0.5000 0.5000
S 0.5000 0.0000 0.0000
S 0.0000 0.0000 0.5000
S 0.0000 0.5000 0.0000
C 0.0000 0.0000 0.0000

---

No. 9
Density functional theory data (PBE) for crystalline BaC3S at its relaxed geometry.

Summary:
The value obtained for the energy above the most stable polymorph in this dataset is 0.00 eV per formula unit. For the total energy, the calculation gives -4.54 eV/atom. As for the raw formation energy: 2.20 eV per atom. As for the density of states at the Fermi level: 0.642 states/eV/atom. As for the crystal system: cubic.

Cell: 4.0781 4.0781 4.0781 Å, 90.00 90.00 90.00°
Atoms (fractional coordinates):
S 0.0000 0.0000 0.0000
Ba 0.5000 0.5000 0.5000
C 0.5000 0.0000 0.0000
C 0.0000 0.5000 0.0000
C 0.0000 0.0000 0.5000

---

No. 10
Density functional theory data (PBE) for crystalline BaCS3 at its relaxed geometry.

Summary:
The value obtained for the energy above the most stable polymorph in this dataset is 8.69 eV per formula unit. For the total energy, the calculation gives -2.70 eV/atom. As for the raw formation energy: 2.01 eV per atom. As for the density of states at the Fermi level: 3.101 states/eV/atom. As for the crystal system: cubic.

Cell: 6.0935 6.0935 6.0935 Å, 90.00 90.00 90.00°
Atoms (fractional coordinates):
S 0.5000 0.0000 0.0000
S 0.0000 0.5000 0.0000
S 0.0000 0.0000 0.5000
C 0.5000 0.5000 0.5000
Ba 0.0000 0.0000 0.0000

---

No. 11
Density functional theory data (PBE) for crystalline BaC2S2 at its relaxed geometry.

Summary:
The value obtained for the energy above the most stable polymorph in this dataset is 0.00 eV per formula unit. For the total energy, the calculation gives -4.98 eV/atom. As for the raw formation energy: 0.75 eV per atom. As for the density of states at the Fermi level: 0.331 states/eV/atom. As for the crystal system: tetragonal.

Cell: 8.0753 8.0753 2.9109 Å, 90.00 90.00 90.00°
Atoms (fractional coordinates):
Ba 0.0000 0.0000 0.0000
Ba 0.5000 0.5000 0.0000
C 0.2316 0.2684 0.5000
C 0.2684 0.7684 0.5000
C 0.7316 0.2316 0.5000
C 0.7684 0.7316 0.5000
S 0.8615 0.6385 0.0000
S 0.3615 0.8615 0.0000
S 0.1385 0.3615 0.0000
S 0.6385 0.1385 0.0000

---

No. 12
Density functional theory data (PBE) for crystalline BaCS2 at its relaxed geometry.

Summary:
For the total energy, the calculation gives -4.75 eV/atom. As for the raw formation energy: 0.10 eV per atom. As for the density of states at the Fermi level: 0.002 states/eV/atom. As for the crystal system: tetragonal.

Cell: 6.3369 6.3369 6.2638 Å, 59.61 59.61 90.00°
Atoms (fractional coordinates):
Ba 0.7500 0.2500 0.5000
Ba 0.0000 0.0000 0.0000
C 0.5000 0.5000 0.0000
C 0.2500 0.7500 0.5000
S 0.3750 0.5451 0.7500
S 0.4549 0.1250 0.2500
S 0.8750 0.7049 0.7500
S 0.2951 0.6250 0.2500

---

No. 13
Density functional theory data (PBE) for crystalline BaCS2 at its relaxed geometry.

Summary:
For the total energy, the calculation gives -4.95 eV/atom. As for the raw formation energy: -0.10 eV per atom. As for the density of states at the Fermi level: 0.158 states/eV/atom. As for the crystal system: trigonal.

Cell: 6.8171 6.8171 6.8171 Å, 42.85 42.85 42.85°
Atoms (fractional coordinates):
Ba 0.5000 0.5000 0.5000
S 0.9114 0.9114 0.9114
S 0.0886 0.0886 0.0886
C 0.0000 0.0000 0.0000

---

No. 14
Density functional theory data (PBE) for crystalline Ba2TiCS at its relaxed geometry.

Summary:
For the total energy, the calculation gives -4.22 eV/atom. As for the raw formation energy: 0.80 eV per atom. As for the density of states at the Fermi level: 1.618 states/eV/atom. As for the crystal system: tetragonal.

Cell: 6.2607 3.8323 6.2607 Å, 90.00 90.00 90.00°
Atoms (fractional coordinates):
C 0.0000 0.5000 0.0000
Ba 0.0000 0.0000 0.5000
Ba 0.5000 0.0000 0.0000
S 0.0000 0.0000 0.0000
Ti 0.5000 0.5000 0.5000

---

No. 15
Density functional theory data (PBE) for crystalline Ba2YCS at its relaxed geometry.

Summary:
For the total energy, the calculation gives -4.09 eV/atom. As for the raw formation energy: 0.65 eV per atom. As for the density of states at the Fermi level: 0.874 states/eV/atom. As for the crystal system: tetragonal.

Cell: 6.3411 3.9616 6.3411 Å, 90.00 90.00 90.00°
Atoms (fractional coordinates):
Ba 0.0000 0.0000 0.5000
Ba 0.5000 0.0000 0.0000
Y 0.5000 0.5000 0.5000
C 0.0000 0.5000 0.0000
S 0.0000 0.0000 0.0000

---

No. 16
Density functional theory data (PBE) for crystalline BaSbC2 at its relaxed geometry.

Summary:
For the total energy, the calculation gives -5.08 eV/atom. As for the raw formation energy: 1.04 eV per atom. As for the density of states at the Fermi level: 0.447 states/eV/atom. As for the crystal system: tetragonal.

Cell: 6.5078 6.5078 6.0077 Å, 57.21 57.21 90.00°
Atoms (fractional coordinates):
C 0.2131 0.6250 0.2500
C 0.8750 0.7869 0.7500
C 0.3750 0.4631 0.7500
C 0.5369 0.1250 0.2500
Ba 0.0000 0.0000 0.0000
Ba 0.7500 0.2500 0.5000
Sb 0.5000 0.5000 0.0000
Sb 0.2500 0.7500 0.5000

---

No. 17
Density functional theory data (PBE) for crystalline BaSb2TeC at its relaxed geometry.

Summary:
The value obtained for the energy above the most stable polymorph in this dataset is 0.00 eV per formula unit. For the total energy, the calculation gives -4.12 eV/atom. As for the raw formation energy: 0.39 eV per atom. As for the density of states at the Fermi level: 0.994 states/eV/atom. As for the crystal system: tetragonal.

Cell: 4.9969 4.9969 5.2445 Å, 90.00 90.00 90.00°
Atoms (fractional coordinates):
Te 0.0000 0.0000 0.5000
Sb 0.5000 0.0000 0.0000
Sb 0.0000 0.5000 0.0000
C 0.0000 0.0000 0.0000
Ba 0.5000 0.5000 0.5000

---

No. 18
Density functional theory data (PBE) for crystalline Ba2SbTeC at its relaxed geometry.

Summary:
For the total energy, the calculation gives -4.06 eV/atom. As for the raw formation energy: 0.01 eV per atom. As for the density of states at the Fermi level: 0.187 states/eV/atom. As for the crystal system: tetragonal.

Cell: 6.5565 4.3042 6.5565 Å, 90.00 90.00 90.00°
Atoms (fractional coordinates):
Sb 0.0000 0.0000 0.0000
Ba 0.5000 0.0000 0.0000
Ba 0.0000 0.0000 0.5000
Te 0.5000 0.5000 0.5000
C 0.0000 0.5000 0.0000

---

No. 19
Density functional theory data (PBE) for crystalline BaSb2TeC at its relaxed geometry.

Summary:
The value obtained for the energy above the most stable polymorph in this dataset is 4.94 eV per formula unit. For the total energy, the calculation gives -3.13 eV/atom. As for the raw formation energy: 1.38 eV per atom. As for the density of states at the Fermi level: 0.723 states/eV/atom. As for the crystal system: tetragonal.

Cell: 5.7406 6.5810 5.7406 Å, 90.00 90.00 90.00°
Atoms (fractional coordinates):
Ba 0.0000 0.5000 0.0000
Te 0.0000 0.0000 0.0000
Sb 0.0000 0.0000 0.5000
Sb 0.5000 0.0000 0.0000
C 0.5000 0.5000 0.5000

---

No. 20
Density functional theory data (PBE) for crystalline BaSb2TeC at its relaxed geometry.

Summary:
The value obtained for the energy above the most stable polymorph in this dataset is 8.61 eV per formula unit. For the total energy, the calculation gives -2.39 eV/atom. As for the raw formation energy: 2.11 eV per atom. As for the density of states at the Fermi level: 2.468 states/eV/atom. As for the crystal system: tetragonal.

Cell: 6.5559 6.5559 6.4116 Å, 90.00 90.00 90.00°
Atoms (fractional coordinates):
Te 0.0000 0.0000 0.5000
C 0.5000 0.5000 0.5000
Ba 0.0000 0.0000 0.0000
Sb 0.0000 0.5000 0.0000
Sb 0.5000 0.0000 0.0000